# Nd6Ag2Pd PBE-GGA optimized geometry
# VASP energy: -41.20 eV/f.u.
# N(E_F): 25.530 states/eV per cell
# symmetry: P2_1/c
data_Nd6Ag2Pd
_symmetry_space_group_name_H-M 'P 1'
_symmetry_Int_Tables_number 1
_symmetry_space_group_name_Hall 'P 1'
_cell_length_a 6.4101
_cell_length_b 8.0489
_cell_length_c 12.2617
_cell_angle_alpha 90.00
_cell_angle_beta 120.38
_cell_angle_gamma 90.00
loop_
_atom_site_label
_atom_site_type_symbol
_atom_site_fract_x
_atom_site_fract_y
_atom_site_fract_z
Nd1 Nd 0.0835 0.2064 0.4408
Nd2 Nd 0.0835 0.2936 0.9408
Nd3 Nd 0.2977 0.6607 0.4483
Nd4 Nd 0.2977 0.8393 0.9483
Nd5 Nd 0.3861 0.0435 0.2423
Nd6 Nd 0.3861 0.4565 0.7423
Nd7 Nd 0.6139 0.5435 0.2577
Nd8 Nd 0.6139 0.9565 0.7577
Nd9 Nd 0.7023 0.1607 0.0517
Nd10 Nd 0.7023 0.3393 0.5517
Nd11 Nd 0.9165 0.7064 0.0592
Nd12 Nd 0.9165 0.7936 0.5592
Ag1 Ag 0.1379 0.1088 0.7301
Ag2 Ag 0.1379 0.3912 0.2301
Ag3 Ag 0.8621 0.6088 0.7699
Ag4 Ag 0.8621 0.8912 0.2699
Pd1 Pd 0.5000 0.0000 0.5000
Pd2 Pd 0.5000 0.5000 0.0000

=====

# RbReAsO6 PBE-GGA optimized geometry
# N(E_F): 1.903 states/eV per cell
# E_form (uncorrected): -1.51 eV per atom
# symmetry: P312
data_RbReAsO6
_symmetry_space_group_name_H-M 'P 1'
_symmetry_Int_Tables_number 1
_symmetry_space_group_name_Hall 'P 1'
_cell_length_a 5.1880
_cell_length_b 5.1880
_cell_length_c 6.3204
_cell_angle_alpha 90.00
_cell_angle_beta 90.00
_cell_angle_gamma 120.00
loop_
_atom_site_label
_atom_site_type_symbol
_atom_site_fract_x
_atom_site_fract_y
_atom_site_fract_z
Rb1 Rb 0.0000 0.0000 0.0000
Re1 Re 0.3333 0.6667 0.5000
As1 As 0.6667 0.3333 0.5000
O1 O 0.4102 0.0030 0.6737
O2 O 0.4102 0.4072 0.3263
O3 O 0.5928 0.0030 0.3263
O4 O 0.5928 0.5898 0.6737
O5 O 0.9970 0.4072 0.6737
O6 O 0.9970 0.5898 0.3263

=====

What did the first record say?
# Nd6Ag2Pd PBE-GGA optimized geometry
# VASP energy: -41.20 eV/f.u.
# N(E_F): 25.530 states/eV per cell
# symmetry: P2_1/c
data_Nd6Ag2Pd
_symmetry_space_group_name_H-M 'P 1'
_symmetry_Int_Tables_number 1
_symmetry_space_group_name_Hall 'P 1'
_cell_length_a 6.4101
_cell_length_b 8.0489
_cell_length_c 12.2617
_cell_angle_alpha 90.00
_cell_angle_beta 120.38
_cell_angle_gamma 90.00
loop_
_atom_site_label
_atom_site_type_symbol
_atom_site_fract_x
_atom_site_fract_y
_atom_site_fract_z
Nd1 Nd 0.0835 0.2064 0.4408
Nd2 Nd 0.0835 0.2936 0.9408
Nd3 Nd 0.2977 0.6607 0.4483
Nd4 Nd 0.2977 0.8393 0.9483
Nd5 Nd 0.3861 0.0435 0.2423
Nd6 Nd 0.3861 0.4565 0.7423
Nd7 Nd 0.6139 0.5435 0.2577
Nd8 Nd 0.6139 0.9565 0.7577
Nd9 Nd 0.7023 0.1607 0.0517
Nd10 Nd 0.7023 0.3393 0.5517
Nd11 Nd 0.9165 0.7064 0.0592
Nd12 Nd 0.9165 0.7936 0.5592
Ag1 Ag 0.1379 0.1088 0.7301
Ag2 Ag 0.1379 0.3912 0.2301
Ag3 Ag 0.8621 0.6088 0.7699
Ag4 Ag 0.8621 0.8912 0.2699
Pd1 Pd 0.5000 0.0000 0.5000
Pd2 Pd 0.5000 0.5000 0.0000